1.
{"formula": "LiCa6Ag3", "functional": "PBE", "state": "optimized geometry", "e_form_mev_per_atom": -153, "rho_g_cm3": 3.00, "space_group": "No. 11", "n_ef_per_ev_atom": 0.775, "lattice_angstrom": [[-0.8579, 0.7653, -4.3197], [8.2032, -7.2065, -2.9058], [-11.6940, -6.4122, 1.1863]], "species": ["Li", "Li", "Ag", "Ag", "Ag", "Ag", "Ag", "Ag", "Ca", "Ca", "Ca", "Ca", "Ca", "Ca", "Ca", "Ca", "Ca", "Ca", "Ca", "Ca"], "frac_coords": [[0.2500, 0.9166, 0.2803], [0.7500, 0.0834, 0.7197], [0.7500, 0.6991, 0.5414], [0.2500, 0.3009, 0.4586], [0.7500, 0.3515, 0.8405], [0.2500, 0.6485, 0.1595], [0.2500, 0.9120, 0.9708], [0.7500, 0.0880, 0.0292], [0.2500, 0.5246, 0.3860], [0.2500, 0.5718, 0.9028], [0.2500, 0.1690, 0.2014], [0.2500, 0.8921, 0.5677], [0.7500, 0.4282, 0.0972], [0.7500, 0.8303, 0.0903], [0.7500, 0.1079, 0.4323], [0.2500, 0.1697, 0.9097], [0.7500, 0.7454, 0.3278], [0.2500, 0.2546, 0.6722], [0.7500, 0.4754, 0.6140], [0.7500, 0.8310, 0.7986]]}

***

2.
{"formula": "LiCa3Ag", "functional": "PBE", "state": "optimized geometry", "e_form_mev_per_atom": -124, "rho_g_cm3": 2.50, "space_group": "No. 59", "n_ef_per_ev_atom": 0.885, "lattice_angstrom": [[4.9436, 0.0003, 0.0007], [-0.0004, 6.7636, 0.0033], [-0.0013, -0.0045, 9.3541]], "species": ["Ag", "Ag", "Ca", "Ca", "Ca", "Ca", "Ca", "Ca", "Li", "Li"], "frac_coords": [[0.2500, 0.0268, 0.2500], [0.7500, 0.9732, 0.7500], [0.2500, 0.7756, 0.5470], [0.7500, 0.7417, 0.2500], [0.7500, 0.2243, 0.0470], [0.2500, 0.7757, 0.9530], [0.2500, 0.2583, 0.7500], [0.7500, 0.2244, 0.4530], [0.7500, 0.5785, 0.7500], [0.2500, 0.4215, 0.2500]]}

***

3.
{"formula": "LiCa2Ag6", "functional": "PBE", "state": "optimized geometry", "e_form_mev_per_atom": -197, "rho_g_cm3": 6.35, "space_group": "No. 164", "n_ef_per_ev_atom": 0.315, "lattice_angstrom": [[6.1223, -0.0290, -0.0168], [0.0268, 6.0157, 0.0061], [0.0268, 3.0024, 5.2129]], "species": ["Ag", "Ag", "Ag", "Ag", "Ag", "Ag", "Li", "Ca", "Ca"], "frac_coords": [[0.3206, 0.8261, 0.3480], [0.3203, 0.8260, 0.8260], [0.3206, 0.3480, 0.8261], [0.6794, 0.1739, 0.6520], [0.6797, 0.1740, 0.1740], [0.6794, 0.6520, 0.1739], [0.0000, 0.0000, 0.0000], [0.1546, 0.3334, 0.3334], [0.8454, 0.6666, 0.6666]]}

***

4.
{"formula": "Li3CaAg", "functional": "PBE", "state": "optimized geometry", "e_form_mev_per_atom": -27, "rho_g_cm3": 2.39, "space_group": "No. 194", "n_ef_per_ev_atom": 0.588, "lattice_angstrom": [[-5.1803, 1.7066, 2.2527], [2.2316, -1.4520, 6.2309], [0.9248, 6.2020, -2.5704]], "species": ["Ag", "Ag", "Li", "Li", "Li", "Li", "Li", "Li", "Ca", "Ca"], "frac_coords": [[0.5000, 0.0000, 0.0000], [0.0000, 0.0000, 0.0000], [0.7500, 0.1870, 0.3740], [0.7501, 0.1871, 0.8130], [0.7500, 0.6259, 0.8130], [0.2499, 0.8129, 0.1870], [0.2500, 0.8130, 0.6260], [0.2500, 0.3741, 0.1870], [0.2501, 0.3332, 0.6666], [0.7499, 0.6668, 0.3334]]}

***

5.
{"formula": "LiCa2Ag4", "functional": "PBE", "state": "optimized geometry", "e_form_mev_per_atom": -115, "rho_g_cm3": 4.63, "space_group": "No. 65", "n_ef_per_ev_atom": 0.346, "lattice_angstrom": [[4.5159, 0.0000, 0.0000], [0.0000, 4.9906, -1.8876], [0.0000, 0.2341, 8.1596]], "species": ["Ag", "Ag", "Ag", "Ag", "Ca", "Ca", "Li"], "frac_coords": [[0.5000, 0.4112, 0.8225], [0.5000, 0.5888, 0.1775], [0.0000, 0.6974, 0.3948], [0.0000, 0.3026, 0.6052], [0.5000, 0.1659, 0.3319], [0.5000, 0.8341, 0.6681], [0.0000, 0.5000, 0.0000]]}

***

6.
{"formula": "Li5CaAg6", "functional": "PBE", "state": "optimized geometry", "e_form_mev_per_atom": -195, "rho_g_cm3": 5.56, "space_group": "No. 65", "n_ef_per_ev_atom": 0.284, "lattice_angstrom": [[4.5025, 0.0000, 0.0134], [2.2512, 6.7587, 0.0067], [-0.0211, 0.0000, 7.0830]], "species": ["Ag", "Ag", "Ag", "Ag", "Ag", "Ag", "Li", "Li", "Li", "Li", "Li", "Ca"], "frac_coords": [[0.8262, 0.3476, 0.7242], [0.5000, 0.0000, 0.7163], [0.5000, 0.0000, 0.2837], [0.1738, 0.6524, 0.7242], [0.1738, 0.6524, 0.2758], [0.8262, 0.3476, 0.2758], [0.3368, 0.3263, 0.5000], [0.3234, 0.3533, 0.0000], [0.6766, 0.6467, 0.0000], [0.6632, 0.6737, 0.5000], [0.0000, 0.0000, 0.5000], [0.0000, 0.0000, 0.0000]]}

***

7.
{"formula": "Li3Ca3Ag2", "functional": "PBE", "state": "optimized geometry", "e_form_mev_per_atom": -177, "rho_g_cm3": 2.88, "space_group": "No. 62", "n_ef_per_ev_atom": 0.572, "lattice_angstrom": [[-5.8647, 1.4202, -0.0748], [-1.1624, -4.4415, 6.8104], [3.1245, 13.3909, 9.2663]], "species": ["Ca", "Ca", "Ca", "Ca", "Ca", "Ca", "Ca", "Ca", "Ca", "Ca", "Ca", "Ca", "Ag", "Ag", "Ag", "Ag", "Ag", "Ag", "Ag", "Ag", "Li", "Li", "Li", "Li", "Li", "Li", "Li", "Li", "Li", "Li", "Li", "Li"], "frac_coords": [[0.3853, 0.9682, 0.1092], [0.1147, 0.4682, 0.3908], [0.3853, 0.9682, 0.3908], [0.1377, 0.1678, 0.7500], [0.6147, 0.0318, 0.8908], [0.6147, 0.0318, 0.6092], [0.8623, 0.8322, 0.2500], [0.8853, 0.5318, 0.6092], [0.3623, 0.6678, 0.7500], [0.1147, 0.4682, 0.1092], [0.8853, 0.5318, 0.8908], [0.6377, 0.3322, 0.2500], [0.8801, 0.1188, 0.3881], [0.8801, 0.1188, 0.1119], [0.1199, 0.8812, 0.8881], [0.3801, 0.3812, 0.8881], [0.6199, 0.6188, 0.3881], [0.3801, 0.3812, 0.6119], [0.1199, 0.8812, 0.6119], [0.6199, 0.6188, 0.1119], [0.0973, 0.1717, 0.5328], [0.6246, 0.3258, 0.7500], [0.9027, 0.8283, 0.0328], [0.4027, 0.6717, 0.5328], [0.5973, 0.3283, 0.0328], [0.1246, 0.1742, 0.2500], [0.0973, 0.1717, 0.9672], [0.8754, 0.8258, 0.7500], [0.3754, 0.6742, 0.2500], [0.5973, 0.3283, 0.4672], [0.9027, 0.8283, 0.4672], [0.4027, 0.6717, 0.9672]]}

***

8.
{"formula": "LiCa2Ag2", "functional": "PBE", "state": "optimized geometry", "e_form_mev_per_atom": -40, "rho_g_cm3": 3.65, "space_group": "No. 139", "n_ef_per_ev_atom": 0.545, "lattice_angstrom": [[3.9464, 0.0000, 0.0000], [0.0000, 3.9464, 0.0000], [1.9732, 1.9732, 8.8500]], "species": ["Ca", "Ca", "Ag", "Ag", "Li"], "frac_coords": [[0.6104, 0.6104, 0.7791], [0.3896, 0.3896, 0.2209], [0.7500, 0.2500, 0.5000], [0.2500, 0.7500, 0.5000], [0.0000, 0.0000, 0.0000]]}

***

9.
{"formula": "LiCa5Ag", "functional": "PBE", "state": "optimized geometry", "e_form_mev_per_atom": -5, "rho_g_cm3": 2.13, "space_group": "No. 15", "n_ef_per_ev_atom": 0.890, "lattice_angstrom": [[6.3334, -0.4242, -0.0620], [1.6070, 6.1408, -0.0620], [2.8086, 2.0220, 12.3883]], "species": ["Ca", "Ca", "Ca", "Ca", "Ca", "Ca", "Ca", "Ca", "Ca", "Ca", "Li", "Li", "Ag", "Ag"], "frac_coords": [[0.9919, 0.0081, 0.2500], [0.5282, 0.2073, 0.0701], [0.2073, 0.5282, 0.5701], [0.5709, 0.9083, 0.6289], [0.4718, 0.7927, 0.9299], [0.0081, 0.9919, 0.7500], [0.4291, 0.0917, 0.3711], [0.0917, 0.4291, 0.8711], [0.7927, 0.4718, 0.4299], [0.9083, 0.5709, 0.1289], [0.3939, 0.6061, 0.2500], [0.6061, 0.3939, 0.7500], [0.0000, 0.0000, 0.5000], [0.0000, 0.0000, 0.0000]]}

***

10.
{"formula": "LiCa2Ag", "functional": "PBE", "state": "optimized geometry", "e_form_mev_per_atom": 10, "rho_g_cm3": 2.61, "space_group": "No. 139", "n_ef_per_ev_atom": 0.752, "lattice_angstrom": [[6.7077, -3.9943, 4.7967], [-4.0614, 6.6673, -4.7967], [2.1893, -4.8139, 7.4812]], "species": ["Ag", "Ca", "Ca", "Li"], "frac_coords": [[0.5000, 0.0000, 0.5000], [0.3320, 0.0002, 0.3322], [0.6680, 0.9998, 0.6678], [0.0000, 0.0000, 0.0000]]}

***

11.
{"formula": "LiCaAg6", "functional": "PBE", "state": "optimized geometry", "e_form_mev_per_atom": -85, "rho_g_cm3": 7.35, "space_group": "No. 200", "n_ef_per_ev_atom": 0.280, "lattice_angstrom": [[-3.2614, 3.4975, 2.4952], [0.8705, -2.5298, 4.6838], [4.2073, 3.2347, 0.9652]], "species": ["Ag", "Ag", "Ag", "Ag", "Ag", "Ag", "Li", "Ca"], "frac_coords": [[0.0000, 0.5000, 0.7536], [0.5000, 0.7536, 0.0000], [0.2464, 0.0000, 0.5000], [0.0000, 0.5000, 0.2464], [0.5000, 0.2464, 0.0000], [0.7536, 0.0000, 0.5000], [0.0000, 0.0000, 0.0000], [0.5000, 0.5000, 0.5000]]}

***

12.
{"formula": "Li16Ca2Ag", "functional": "PBE", "state": "optimized geometry", "e_form_mev_per_atom": -7, "rho_g_cm3": 1.20, "space_group": "No. 160", "n_ef_per_ev_atom": 0.545, "lattice_angstrom": [[7.4551, 0.0406, 0.8857], [0.7914, 7.4131, 0.8857], [0.0449, 0.0406, 7.5074]], "species": ["Li", "Li", "Li", "Li", "Li", "Li", "Li", "Li", "Li", "Li", "Li", "Li", "Li", "Li", "Li", "Li", "Ag", "Ca", "Ca"], "frac_coords": [[0.7165, 0.2813, 0.9983], [0.6440, 0.6440, 0.1503], [0.0952, 0.0952, 0.0952], [0.5283, 0.9851, 0.9851], [0.9851, 0.5283, 0.9851], [0.2813, 0.9983, 0.7165], [0.2813, 0.7165, 0.9983], [0.9983, 0.2813, 0.7165], [0.3498, 0.8666, 0.3498], [0.6440, 0.1503, 0.6440], [0.8666, 0.3498, 0.3498], [0.9851, 0.9851, 0.5283], [0.7165, 0.9983, 0.2813], [0.3498, 0.3498, 0.8666], [0.9983, 0.7165, 0.2813], [0.1503, 0.6440, 0.6440], [0.9031, 0.9031, 0.9031], [0.6640, 0.6640, 0.6640], [0.3424, 0.3424, 0.3424]]}

***

13.
{"formula": "LiCa2Ag3", "functional": "PBE", "state": "optimized geometry", "e_form_mev_per_atom": -238, "rho_g_cm3": 4.77, "space_group": "No. 69", "n_ef_per_ev_atom": 0.348, "lattice_angstrom": [[5.9690, -0.6379, 0.0000], [-0.8692, 5.9397, 0.0000], [-2.5499, -2.6509, 8.1900]], "species": ["Ca", "Ca", "Ca", "Ca", "Li", "Li", "Ag", "Ag", "Ag", "Ag", "Ag", "Ag"], "frac_coords": [[0.7500, 0.2500, 0.5000], [0.2500, 0.7500, 0.5000], [0.7525, 0.7525, 0.0000], [0.2475, 0.2475, 0.0000], [0.6673, 0.6673, 0.3346], [0.3327, 0.3327, 0.6654], [0.1718, 0.6568, 0.8286], [0.8282, 0.3432, 0.1714], [0.6568, 0.1718, 0.8286], [0.3432, 0.8282, 0.1714], [0.8292, 0.8292, 0.6584], [0.1708, 0.1708, 0.3416]]}

***

14.
{"formula": "LiCaAg3", "functional": "PBE", "state": "optimized geometry", "e_form_mev_per_atom": 600, "rho_g_cm3": 3.55, "space_group": "No. 221", "n_ef_per_ev_atom": 0.255, "lattice_angstrom": [[5.5756, 0.0000, 0.0000], [0.0000, 5.5756, 0.0000], [0.0000, 0.0000, 5.5756]], "species": ["Li", "Ag", "Ag", "Ag", "Ca"], "frac_coords": [[0.5000, 0.5000, 0.5000], [0.5000, 0.0000, 0.0000], [0.0000, 0.0000, 0.5000], [0.0000, 0.5000, 0.0000], [0.0000, 0.0000, 0.0000]]}

***

15.
{"formula": "LiCa5Ag2", "functional": "PBE", "state": "optimized geometry", "e_form_mev_per_atom": -117, "rho_g_cm3": 2.65, "space_group": "No. 71", "n_ef_per_ev_atom": 0.660, "lattice_angstrom": [[-0.6480, -3.9408, -0.6708], [4.9602, 0.2964, -6.5334], [4.0700, 0.0078, 8.2466]], "species": ["Li", "Ca", "Ca", "Ca", "Ca", "Ca", "Ag", "Ag"], "frac_coords": [[0.0000, 0.0000, 0.0000], [0.6452, 0.9126, 0.2904], [0.3548, 0.6222, 0.7096], [0.3548, 0.0874, 0.7096], [0.0000, 0.5000, 0.0000], [0.6452, 0.3778, 0.2904], [0.8022, 0.3022, 0.6045], [0.1978, 0.6978, 0.3955]]}

***

16.
{"formula": "LiCa4Ag3", "functional": "PBE", "state": "optimized geometry", "e_form_mev_per_atom": -251, "rho_g_cm3": 3.65, "space_group": "No. 25", "n_ef_per_ev_atom": 0.499, "lattice_angstrom": [[-2.1965, 1.1765, -3.4582], [-3.7242, 0.4604, 2.5221], [2.7440, 11.0856, 2.0284]], "species": ["Li", "Ca", "Ca", "Ca", "Ca", "Ag", "Ag", "Ag"], "frac_coords": [[0.5000, 0.5000, 0.0622], [0.0000, 0.5000, 0.8503], [0.0000, 0.0000, 0.1467], [0.5000, 0.0000, 0.6424], [0.5000, 0.5000, 0.3652], [0.5000, 0.0000, 0.9315], [0.0000, 0.5000, 0.5772], [0.0000, 0.0000, 0.4245]]}

***

17.
{"formula": "Li4Ca3Ag4", "functional": "PBE", "state": "optimized geometry", "e_form_mev_per_atom": -147, "rho_g_cm3": 3.83, "space_group": "No. 217", "n_ef_per_ev_atom": 0.676, "lattice_angstrom": [[-5.5166, -1.4145, -3.8739], [5.5329, 0.6801, -4.0453], [1.0425, -5.1337, 4.4720]], "species": ["Ag", "Ag", "Ag", "Ag", "Li", "Li", "Li", "Li", "Ca", "Ca", "Ca"], "frac_coords": [[0.0000, 0.0000, 0.6068], [0.6068, 0.0000, 0.0000], [0.0000, 0.6068, 0.0000], [0.3932, 0.3932, 0.3932], [0.0000, 0.0000, 0.2467], [0.0000, 0.2467, 0.0000], [0.7533, 0.7533, 0.7533], [0.2467, 0.0000, 0.0000], [0.5000, 0.5000, 0.0000], [0.0000, 0.5000, 0.5000], [0.5000, 0.0000, 0.5000]]}

***

18.
{"formula": "Li2CaAg", "functional": "PBE", "state": "optimized geometry", "e_form_mev_per_atom": -85, "rho_g_cm3": 3.15, "space_group": "No. 225", "n_ef_per_ev_atom": 0.689, "lattice_angstrom": [[0.0000, 3.4942, 3.4942], [3.4942, 0.0000, 3.4942], [3.4942, 3.4942, 0.0000]], "species": ["Ag", "Li", "Li", "Ca"], "frac_coords": [[0.5000, 0.5000, 0.5000], [0.2500, 0.2500, 0.2500], [0.7500, 0.7500, 0.7500], [0.0000, 0.0000, 0.0000]]}

***

19.
{"formula": "Li6CaAg", "functional": "PBE", "state": "optimized geometry", "e_form_mev_per_atom": 38, "rho_g_cm3": 1.67, "space_group": "No. 123", "n_ef_per_ev_atom": 0.675, "lattice_angstrom": [[-3.5604, -2.5497, -0.4708], [1.8200, -1.8880, -3.5386], [4.0841, -6.7569, 5.7057]], "species": ["Li", "Li", "Li", "Li", "Li", "Li", "Ca", "Ag"], "frac_coords": [[0.0000, 0.5000, 0.3421], [0.5000, 0.5000, 0.8566], [0.0000, 0.5000, 0.6579], [0.5000, 0.5000, 0.1434], [0.5000, 0.0000, 0.6579], [0.5000, 0.0000, 0.3421], [0.0000, 0.0000, 0.0000], [0.0000, 0.0000, 0.5000]]}

***

20.
{"formula": "Li2CaAg2", "functional": "PBE", "state": "optimized geometry", "e_form_mev_per_atom": -190, "rho_g_cm3": 4.55, "space_group": "No. 127", "n_ef_per_ev_atom": 0.499, "lattice_angstrom": [[7.8039, 0.0000, 0.0000], [0.0000, 7.8039, 0.0000], [0.0000, 0.0000, 3.2358]], "species": ["Ag", "Ag", "Ag", "Ag", "Li", "Li", "Li", "Li", "Ca", "Ca"], "frac_coords": [[0.6728, 0.8272, 0.5000], [0.3272, 0.1728, 0.5000], [0.1728, 0.6728, 0.5000], [0.8272, 0.3272, 0.5000], [0.6204, 0.1204, 0.0000], [0.8796, 0.6204, 0.0000], [0.1204, 0.3796, 0.0000], [0.3796, 0.8796, 0.0000], [0.0000, 0.0000, 0.0000], [0.5000, 0.5000, 0.0000]]}

***

21.
{"formula": "LiCa5Ag6", "functional": "PBE", "state": "optimized geometry", "e_form_mev_per_atom": -275, "rho_g_cm3": 4.86, "space_group": "No. 12", "n_ef_per_ev_atom": 0.530, "lattice_angstrom": [[-4.1613, -0.7739, 3.0717], [3.5933, -8.0181, -1.5800], [4.8692, 6.4498, 3.7934]], "species": ["Ag", "Ag", "Ag", "Ag", "Ag", "Ag", "Ca", "Ca", "Ca", "Ca", "Ca", "Li"], "frac_coords": [[0.2227, 0.3791, 0.0695], [0.7204, 0.2179, 0.2179], [0.7773, 0.9305, 0.6209], [0.2796, 0.7821, 0.7821], [0.2227, 0.0695, 0.3791], [0.7773, 0.6209, 0.9305], [0.5000, 0.5000, 0.5000], [0.0000, 0.3378, 0.6622], [0.0000, 0.6622, 0.3378], [0.5000, 0.8235, 0.1765], [0.5000, 0.1765, 0.8235], [0.0000, 0.0000, 0.0000]]}

***

22.
{"formula": "Li2CaAg", "functional": "PBE", "state": "optimized geometry", "e_form_mev_per_atom": -23, "rho_g_cm3": 2.78, "space_group": "No. 122", "n_ef_per_ev_atom": 0.466, "lattice_angstrom": [[-1.8666, -3.8471, -0.0247], [3.8459, -1.8652, -0.1242], [1.2387, -3.0448, 10.4757]], "species": ["Li", "Li", "Li", "Li", "Ca", "Ca", "Ag", "Ag"], "frac_coords": [[0.8750, 0.9354, 0.7500], [0.6854, 0.1250, 0.2500], [0.0646, 0.6250, 0.2500], [0.3750, 0.3146, 0.7500], [0.2500, 0.7500, 0.5000], [0.5000, 0.5000, 0.0000], [0.7500, 0.2500, 0.5000], [0.0000, 0.0000, 0.0000]]}